Below is an optimized crystal structure of Cs2HgH, with properties calculated at the GGA-PBE level.

Geometry as CIF:
```
data_Cs2HgH
_chemical_formula_sum 'Cs2 Hg1 H1'
_cell_length_a 4.6052
_cell_length_b 4.6052
_cell_length_c 9.5170
_cell_angle_alpha 76.00
_cell_angle_beta 76.00
_cell_angle_gamma 60.00
_symmetry_space_group_name_H-M 'P 1'
_symmetry_Int_Tables_number 1
_symmetry_space_group_name_Hall 'P 1'
loop_
_atom_site_label
_atom_site_type_symbol
_atom_site_fract_x
_atom_site_fract_y
_atom_site_fract_z
_atom_site_occupancy
Cs1 Cs 0.2681 0.2681 0.1958 1
Cs2 Cs 0.7319 0.7319 0.8042 1
H1 H 0.0000 0.0000 0.0000 1
Hg1 Hg 0.5000 0.5000 0.5000 1
```

Properties
Magnetic moment   0.00 μB per cell
ΔE to the lowest computed polymorph   0.035 eV per atom
E   -1.46 eV/atom
Space-group type   R-3m
Crystal system   trigonal
N(E_F)   2.92 states/eV/f.u.